[1]
{
  "formula": "Tm12SnPd6",
  "functional": "PBE",
  "state": "optimized geometry",
  "lattice_angstrom": [[8.018, 0.000, -2.835], [-4.009, 6.944, -2.835], [0.000, 0.000, 8.505]],
  "species": ["Tm", "Tm", "Pd", "Tm", "Tm", "Pd", "Sn", "Pd", "Tm", "Tm", "Tm", "Tm", "Pd", "Pd", "Tm", "Tm", "Tm", "Tm", "Pd"],
  "fractional_positions": [[0.816, 0.296, 0.112], [0.296, 0.112, 0.816], [0.500, 0.862, 0.362], [0.704, 0.520, 0.816], [0.184, 0.704, 0.888], [0.638, 0.500, 0.138], [0.000, 0.000, 0.000], [0.862, 0.362, 0.500], [0.296, 0.480, 0.184], [0.520, 0.816, 0.704], [0.704, 0.888, 0.184], [0.184, 0.296, 0.480], [0.138, 0.638, 0.500], [0.362, 0.500, 0.862], [0.816, 0.704, 0.520], [0.112, 0.816, 0.296], [0.480, 0.184, 0.296], [0.888, 0.184, 0.704], [0.500, 0.138, 0.638]],
  "formation_energy_ev_per_atom": -0.6746,
  "crystal_system": "cubic",
  "spacegroup": "Im-3, No. 204",
  "energy_ev_per_cell": -101.635,
  "dos_ef_per_ev_fu": 21.05,
  "total_magnetization_mub_per_cell": 0.00
}

[2]
{
  "formula": "Tb5Nd6Tm2",
  "functional": "PBE",
  "state": "optimized geometry",
  "lattice_angstrom": [[-1.211, 2.906, -1.788], [-9.736, -0.073, 6.475], [9.136, 12.346, 13.877]],
  "species": ["Tb", "Nd", "Tm", "Nd", "Tb", "Tb", "Nd", "Nd", "Tb", "Tb", "Nd", "Nd", "Tb", "Tb", "Tb", "Nd", "Tm", "Nd", "Nd", "Tb", "Nd", "Tm", "Nd", "Tm", "Tb", "Nd"],
  "fractional_positions": [[0.500, 0.091, 0.227], [0.000, 0.938, 0.919], [0.000, 0.334, 0.290], [0.500, 0.172, 0.638], [0.500, 0.591, 0.273], [0.500, 0.409, 0.727], [0.000, 0.416, 0.868], [0.000, 0.584, 0.132], [0.500, 0.697, 0.556], [0.500, 0.303, 0.444], [0.500, 0.672, 0.862], [0.500, 0.828, 0.362], [0.500, 0.803, 0.056], [0.500, 0.500, 0.000], [0.500, 0.197, 0.944], [0.000, 0.916, 0.632], [0.000, 0.834, 0.210], [0.000, 0.438, 0.581], [0.000, 0.084, 0.368], [0.500, 0.909, 0.773], [0.500, 0.328, 0.138], [0.000, 0.666, 0.710], [0.000, 0.062, 0.081], [0.000, 0.166, 0.790], [0.500, 0.000, 0.500], [0.000, 0.562, 0.419]],
  "formation_energy_ev_per_atom": 0.1008,
  "crystal_system": "orthorhombic",
  "spacegroup": "Pbam, No. 55",
  "energy_ev_per_cell": -118.782,
  "dos_ef_per_ev_fu": 14.72,
  "total_magnetization_mub_per_cell": 0.00
}

[3]
{
  "formula": "Ca2TaSb2",
  "functional": "PBE",
  "state": "optimized geometry",
  "lattice_angstrom": [[7.537, 0.000, 0.000], [0.000, 7.537, 0.000], [0.000, 0.000, 4.633]],
  "species": ["Ta", "Sb", "Sb", "Ca", "Ta", "Sb", "Ca", "Sb", "Ca", "Ca"],
  "fractional_positions": [[0.000, 0.000, 0.000], [0.348, 0.848, 0.000], [0.848, 0.652, 0.000], [0.336, 0.164, 0.500], [0.500, 0.500, 0.000], [0.652, 0.152, 0.000], [0.664, 0.836, 0.500], [0.152, 0.348, 0.000], [0.836, 0.336, 0.500], [0.164, 0.664, 0.500]],
  "crystal_system": "tetragonal",
  "spacegroup": "P4/mbm, No. 127",
  "energy_ev_per_cell": -51.770,
  "dos_ef_per_ev_fu": 2.70,
  "total_magnetization_mub_per_cell": 1.41,
  "e_form_raw_ev_per_atom": -0.3569
}

[4]
{
  "formula": "Nd3BiPd12",
  "functional": "PBE",
  "state": "optimized geometry",
  "lattice_angstrom": [[4.196, 0.000, 0.000], [0.000, 4.196, 0.000], [0.000, 0.000, 16.662]],
  "species": ["Pd", "Pd", "Nd", "Pd", "Pd", "Bi", "Nd", "Pd", "Pd", "Pd", "Pd", "Nd", "Pd", "Pd", "Pd", "Pd"],
  "fractional_positions": [[0.500, 0.000, 0.120], [0.500, 0.000, 0.880], [0.000, 0.000, 0.750], [0.500, 0.500, 0.000], [0.500, 0.500, 0.500], [0.000, 0.000, 0.000], [0.000, 0.000, 0.500], [0.000, 0.500, 0.880], [0.000, 0.500, 0.374], [0.000, 0.500, 0.626], [0.500, 0.000, 0.626], [0.000, 0.000, 0.250], [0.500, 0.000, 0.374], [0.500, 0.500, 0.244], [0.500, 0.500, 0.756], [0.000, 0.500, 0.120]],
  "formation_energy_ev_per_atom": -0.6376,
  "crystal_system": "tetragonal",
  "spacegroup": "P4/mmm, No. 123",
  "energy_ev_per_cell": -90.699,
  "dos_ef_per_ev_fu": 5.53,
  "total_magnetization_mub_per_cell": 0.00
}

[5]
{
  "formula": "Li2PrSm3Se6",
  "functional": "PBE",
  "state": "optimized geometry",
  "lattice_angstrom": [[-1.948, 5.612, 4.012], [-4.925, -3.589, -3.775], [1.272, -4.805, 5.192]],
  "species": ["Se", "Se", "Se", "Se", "Li", "Sm", "Se", "Sm", "Se", "Li", "Sm", "Pr"],
  "fractional_positions": [[0.425, 0.081, 0.244], [0.575, 0.919, 0.756], [0.081, 0.425, 0.244], [0.263, 0.263, 0.757], [0.332, 0.668, 0.000], [0.835, 0.165, 0.500], [0.919, 0.575, 0.756], [0.500, 0.500, 0.500], [0.737, 0.737, 0.243], [0.668, 0.332, 0.000], [0.165, 0.835, 0.500], [0.000, 0.000, 0.000]],
  "crystal_system": "monoclinic",
  "spacegroup": "C2/m, No. 12",
  "energy_ev_per_cell": -64.466,
  "dos_ef_per_ev_fu": 2.82,
  "total_magnetization_mub_per_cell": 0.00,
  "e_form_raw_ev_per_atom": -1.7328
}

[6]
{
  "formula": "Fe2Au2Se",
  "functional": "PBE",
  "state": "optimized geometry",
  "lattice_angstrom": [[-4.368, -3.261, -3.253], [-2.139, -2.535, 5.413], [-2.647, 3.127, 0.418]],
  "species": ["Se", "Au", "Fe", "Fe", "Fe", "Au", "Au", "Au", "Fe", "Se"],
  "fractional_positions": [[0.000, 0.000, 0.000], [0.656, 0.844, 0.500], [0.137, 0.363, 0.000], [0.363, 0.863, 0.000], [0.863, 0.637, 0.000], [0.344, 0.156, 0.500], [0.844, 0.344, 0.500], [0.156, 0.656, 0.500], [0.637, 0.137, 0.000], [0.500, 0.500, 0.000]],
  "crystal_system": "tetragonal",
  "spacegroup": "P4/mbm, No. 127",
  "energy_ev_per_cell": -52.073,
  "dos_ef_per_ev_fu": 2.54,
  "total_magnetization_mub_per_cell": 11.99,
  "e_form_raw_ev_per_atom": 0.1856
}

[7]
{
  "formula": "La2BeIr2",
  "functional": "PBE",
  "state": "optimized geometry",
  "lattice_angstrom": [[6.668, 0.000, 0.000], [0.000, 6.668, 0.000], [0.000, 0.000, 4.679]],
  "species": ["Ir", "Be", "Ir", "La", "Be", "Ir", "Ir", "La", "La", "La"],
  "fractional_positions": [[0.358, 0.858, 0.000], [0.500, 0.500, 0.000], [0.142, 0.358, 0.000], [0.677, 0.823, 0.500], [0.000, 0.000, 0.000], [0.642, 0.142, 0.000], [0.858, 0.642, 0.000], [0.323, 0.177, 0.500], [0.177, 0.677, 0.500], [0.823, 0.323, 0.500]],
  "formation_energy_ev_per_atom": -0.3314,
  "crystal_system": "tetragonal",
  "spacegroup": "P4/mbm, No. 127",
  "energy_ev_per_cell": -65.921,
  "dos_ef_per_ev_fu": 5.21,
  "total_magnetization_mub_per_cell": 0.00
}

[8]
{
  "formula": "TlSi3P",
  "functional": "PBE",
  "state": "optimized geometry",
  "lattice_angstrom": [[-3.169, -0.486, 4.019], [-0.113, -5.092, -0.705], [4.047, -0.523, 3.128]],
  "species": ["P", "Si", "Tl", "Si", "Si"],
  "fractional_positions": [[0.500, 0.500, 0.500], [0.500, 0.000, 0.000], [0.000, 0.000, 0.000], [0.000, 0.000, 0.500], [0.000, 0.500, 0.000]],
  "crystal_system": "cubic",
  "spacegroup": "Pm-3m, No. 221",
  "energy_ev_per_cell": -15.248,
  "dos_ef_per_ev_fu": 3.08,
  "total_magnetization_mub_per_cell": 0.00,
  "e_form_raw_ev_per_atom": 1.7595
}

[9]
{
  "formula": "BaZrCu",
  "functional": "PBE",
  "state": "optimized geometry",
  "lattice_angstrom": [[-2.779, -0.787, 4.138], [0.388, -4.362, 2.508], [2.206, -0.114, 4.537]],
  "species": ["Ba", "Zr", "Cu"],
  "fractional_positions": [[0.500, 0.500, 0.500], [0.000, 0.000, 0.000], [0.750, 0.750, 0.750]],
  "formation_energy_ev_per_atom": 0.7718,
  "crystal_system": "cubic",
  "spacegroup": "F-43m, No. 216",
  "energy_ev_per_cell": -12.252,
  "dos_ef_per_ev_fu": 4.01,
  "total_magnetization_mub_per_cell": 2.24
}

[10]
{
  "formula": "TmScGaAg",
  "functional": "PBE",
  "state": "optimized geometry",
  "lattice_angstrom": [[4.930, 0.000, 0.000], [2.465, 4.270, 0.000], [2.465, 1.423, 4.026]],
  "species": ["Sc", "Tm", "Ga", "Ag"],
  "fractional_positions": [[0.500, 0.500, 0.500], [0.000, 0.000, 0.000], [0.750, 0.750, 0.750], [0.250, 0.250, 0.250]],
  "formation_energy_ev_per_atom": -0.4597,
  "crystal_system": "cubic",
  "spacegroup": "F-43m, No. 216",
  "energy_ev_per_cell": -18.520,
  "dos_ef_per_ev_fu": 2.48,
  "total_magnetization_mub_per_cell": 0.00
}

[11]
{
  "formula": "Y3NiB2Pt9",
  "functional": "PBE",
  "state": "optimized geometry",
  "lattice_angstrom": [[-3.765, -4.292, 0.021], [5.536, -1.054, 0.919], [-1.278, 1.165, 9.033]],
  "species": ["Y", "Ni", "Pt", "Pt", "Pt", "Y", "Pt", "Pt", "Y", "Pt", "B", "B", "Pt", "Pt", "Pt"],
  "fractional_positions": [[0.000, 0.000, 0.000], [0.000, 0.000, 0.500], [0.000, 0.500, 0.000], [0.500, 0.500, 0.000], [0.163, 0.325, 0.287], [0.333, 0.667, 0.595], [0.163, 0.837, 0.287], [0.500, 0.000, 0.000], [0.667, 0.333, 0.405], [0.325, 0.163, 0.713], [0.667, 0.333, 0.848], [0.333, 0.667, 0.152], [0.837, 0.163, 0.713], [0.837, 0.675, 0.713], [0.675, 0.837, 0.287]],
  "formation_energy_ev_per_atom": -0.7860,
  "crystal_system": "trigonal",
  "spacegroup": "P-3m1, No. 164",
  "energy_ev_per_cell": -104.685,
  "dos_ef_per_ev_fu": 6.60,
  "total_magnetization_mub_per_cell": 0.00
}